# MnSbN2F | Alexandria via LeMat-Bulk | GGA+U | relaxed
# excess energy over the best structure of this formula in the dataset: 2.12 kcal/mol of atoms
# size of the total moment: 4.81 μB/cell
data_MnSbN2F
_cell_length_a 4.093
_cell_length_b 4.093
_cell_length_c 4.111
_cell_angle_alpha 90.00
_cell_angle_beta 90.00
_cell_angle_gamma 90.00
_space_group_name_H-M_alt 'P 4/m m m'
_space_group_IT_number 123
_space_group_name_Hall '-P 4 2'
loop_
_atom_site_label
_atom_site_type_symbol
_atom_site_fract_x
_atom_site_fract_y
_atom_site_fract_z
_atom_site_occupancy
Mn1 Mn 0.000 0.000 0.000 1
Sb1 Sb 0.500 0.500 0.500 1
N1 N 0.000 0.500 0.500 1
F1 F 0.500 0.500 0.000 1